DFT (PBE-GGA) results for a relaxed structure of CoMoP2Cl.

The structure in POSCAR format:
```
CoMoP2Cl
1.0
4.6668 0.0000 0.0000
0.0000 4.6668 0.0000
0.0000 0.0000 4.8985
Co Mo P Cl
1 1 2 1
Direct
0.0000 0.0000 0.0000 Co
0.5000 0.5000 0.5000 Mo
0.0000 0.5000 0.5000 P
0.5000 0.0000 0.5000 P
0.5000 0.5000 0.0000 Cl
```

Summary:
As for the symmetry: P4/mmm, No. 123. The calculation puts the excess energy over the best structure of this formula in the dataset at 0.58 eV per formula unit. The calculation puts the uncorrected formation energy at 848 meV per atom.